No. 1
The following is a PBE-GGA calculation of a relaxed ZrCo2Ru crystal, from Alexandria.

Calculated values
As for the size of the total moment: 0.001 μB/atom. The energy relative to the lowest polymorph listed for this composition is 0.17 eV per formula unit. The density of states at the Fermi level is 5.72 states/eV/f.u.

Cell lengths 3.8582, 3.8582, 7.4730 Å; angles 90.00, 90.00, 90.00 degrees
Space group I4/mmm (No. 139)
Asymmetric unit:
Zr (0.0000, 0.0000, 0.0000)
Co (0.0000, 0.5000, 0.2500)
Ru (0.0000, 0.0000, 0.5000)


No. 2
The following is a PBE-GGA calculation of a relaxed ZrCo2Ru crystal, from Alexandria.

Calculated values
As for the size of the total moment: 0.834 μB/atom. The energy relative to the lowest polymorph listed for this composition is 1.72 eV per formula unit. The density of states at the Fermi level is 5.95 states/eV/f.u.

Cell lengths 2.7678, 2.7678, 26.3135 Å; angles 90.00, 90.00, 120.00 degrees
Space group R3m (No. 160, hexagonal axes)
Asymmetric unit:
Zr (0.0000, 0.0000, 0.0000)
Co (0.0000, 0.0000, 0.4944)
Co (0.0000, 0.0000, 0.7574)
Ru (0.0000, 0.0000, 0.2382)


No. 3
The following is a PBE-GGA calculation of a relaxed Zr2Co2Ru crystal, from Alexandria.

Calculated values
As for the size of the total moment: 0.000 μB/atom. The energy relative to the lowest polymorph listed for this composition is 1.50 eV per formula unit. The density of states at the Fermi level is 2.26 states/eV/f.u.

Cell lengths 7.1163, 7.1163, 3.1928 Å; angles 90.00, 90.00, 90.00 degrees
Space group P4/mbm (No. 127)
Asymmetric unit:
Zr (0.1633, 0.3367, 0.0000)
Co (0.1347, 0.6347, 0.5000)
Ru (0.0000, 0.0000, 0.0000)


No. 4
The following is a PBE-GGA calculation of a relaxed Zr2CoRu crystal, from Alexandria.

Calculated values
The value obtained for the total energy is -8.590 eV per atom. As for the size of the total moment: 0.000 μB/atom. The density of states at the Fermi level is 3.42 states/eV/f.u.

Cell lengths 3.3503, 4.2797, 9.5840 Å; angles 90.00, 90.00, 90.00 degrees
Space group Imm2 (No. 44)
Asymmetric unit:
Zr (0.0000, 0.0000, 0.0000)
Zr (0.0000, 0.5000, 0.2372)
Co (0.0000, 0.0000, 0.5000)
Ru (0.0000, 0.5000, 0.7396)


No. 5
The following is a PBE-GGA calculation of a relaxed Zr2CoRu2 crystal, from Alexandria.

Calculated values
The value obtained for the total energy is -8.732 eV per atom. As for the size of the total moment: 0.220 μB/atom. The density of states at the Fermi level is 5.16 states/eV/f.u.

Cell lengths 6.4592, 6.4592, 4.1333 Å; angles 90.00, 90.00, 90.00 degrees
Space group P4/mbm (No. 127)
Asymmetric unit:
Zr (0.1800, 0.3200, 0.0000)
Co (0.0000, 0.0000, 0.5000)
Ru (0.1373, 0.6373, 0.5000)


No. 6
The following is a PBE-GGA calculation of a relaxed ZrCo2Ru crystal, from Alexandria.

Calculated values
As for the size of the total moment: 0.739 μB/atom. The energy relative to the lowest polymorph listed for this composition is 1.93 eV per formula unit. The density of states at the Fermi level is 6.38 states/eV/f.u.

Cell lengths 2.7521, 2.7521, 26.5516 Å; angles 90.00, 90.00, 120.00 degrees
Space group R-3m (No. 166, hexagonal axes)
Asymmetric unit:
Zr (0.0000, 0.0000, 0.0000)
Co (0.0000, 0.0000, 0.2425)
Ru (0.0000, 0.0000, 0.5000)


No. 7
The following is a PBE-GGA calculation of a relaxed ZrCoRu3 crystal, from Alexandria.

Calculated values
As for the size of the total moment: 1.114 μB/atom. The energy relative to the lowest polymorph listed for this composition is 5.90 eV per formula unit. The density of states at the Fermi level is 6.71 states/eV/f.u.

Cell lengths 4.7424, 4.7424, 4.7424 Å; angles 90.00, 90.00, 90.00 degrees
Space group Pm-3m (No. 221)
Asymmetric unit:
Zr (0.0000, 0.0000, 0.0000)
Co (0.5000, 0.5000, 0.5000)
Ru (0.0000, 0.0000, 0.5000)


No. 8
The following is a PBE-GGA calculation of a relaxed Zr2CoRu crystal, from Alexandria.

Calculated values
The value obtained for the total energy is -8.815 eV per atom. As for the size of the total moment: 0.245 μB/atom. The density of states at the Fermi level is 2.02 states/eV/f.u.

Cell lengths 4.5969, 4.5969, 3.2339 Å; angles 90.00, 90.00, 90.00 degrees
Space group P4/mmm (No. 123)
Asymmetric unit:
Zr (0.0000, 0.5000, 0.0000)
Co (0.0000, 0.0000, 0.5000)
Ru (0.5000, 0.5000, 0.5000)


No. 9
The following is a PBE-GGA calculation of a relaxed Zr4Co3Ru crystal, from Alexandria.

Calculated values
The value obtained for the total energy is -8.460 eV per atom. As for the size of the total moment: 0.317 μB/atom. The density of states at the Fermi level is 5.86 states/eV/f.u.

Cell lengths 3.2145, 4.5620, 9.1058 Å; angles 90.00, 90.00, 90.00 degrees
Space group Pmmm (No. 47)
Asymmetric unit:
Zr (0.0000, 0.0000, 0.0000)
Zr (0.0000, 0.0000, 0.5000)
Zr (0.0000, 0.5000, 0.2449)
Co (0.5000, 0.0000, 0.2492)
Co (0.5000, 0.5000, 0.0000)
Ru (0.5000, 0.5000, 0.5000)


No. 10
The following is a PBE-GGA calculation of a relaxed Zr2CoRu crystal, from Alexandria.

Calculated values
The value obtained for the total energy is -8.427 eV per atom. As for the size of the total moment: 0.448 μB/atom. The density of states at the Fermi level is 3.61 states/eV/f.u.

Cell lengths 6.4344, 6.4344, 6.4344 Å; angles 90.00, 90.00, 90.00 degrees
Space group F-43m (No. 216)
Asymmetric unit:
Zr (0.0000, 0.0000, 0.0000)
Zr (0.2500, 0.2500, 0.2500)
Co (0.0000, 0.0000, 0.5000)
Ru (0.2500, 0.2500, 0.7500)


No. 11
The following is a PBE-GGA calculation of a relaxed ZrCo2Ru crystal, from Alexandria.

Calculated values
As for the size of the total moment: 0.791 μB/atom. The energy relative to the lowest polymorph listed for this composition is 0.33 eV per formula unit. The density of states at the Fermi level is 4.14 states/eV/f.u.

Cell lengths 3.1715, 3.1715, 5.7738 Å; angles 90.00, 90.00, 90.00 degrees
Space group P4mm (No. 99)
Asymmetric unit:
Zr (0.0000, 0.0000, 0.0000)
Co (0.0000, 0.0000, 0.4780)
Co (0.5000, 0.5000, 0.2812)
Ru (0.5000, 0.5000, 0.7185)


No. 12
The following is a PBE-GGA calculation of a relaxed Zr6Co5Ru crystal, from Alexandria.

Calculated values
The value obtained for the total energy is -8.340 eV per atom. As for the size of the total moment: 0.335 μB/atom. The density of states at the Fermi level is 10.27 states/eV/f.u.

Cell lengths 4.5456, 6.4176, 7.1717 Å; angles 90.00, 108.34, 90.00 degrees
Space group P2/m (No. 10)
Asymmetric unit:
Zr (0.0000, 0.2468, 0.0000)
Zr (0.3317, 0.2483, 0.6636)
Co (0.1660, 0.0000, 0.3315)
Co (0.1673, 0.5000, 0.3342)
Co (0.5000, 0.0000, 0.0000)
Ru (0.5000, 0.5000, 0.0000)